[1]
Computed, not measured: crystalline Tl2GaF5 at its relaxed geometry at the GGA-PBE level of DFT.

Cell lengths 6.312, 6.312, 3.978 Å; angles 90.00, 90.00, 90.00 degrees
Space group P4/mmm (No. 123)
Inequivalent atoms, fractional coordinates:
1 Tl 0.000 0.500 0.000 (multiplicity 2)
2 Ga 0.000 0.000 0.500 (multiplicity 1)
3 F 0.000 0.000 0.000 (multiplicity 1)
4 F 0.213 0.213 0.500 (multiplicity 4)

Raw formation energy = -218.39 kJ per mole of atoms
Offset from the most stable computed form = 0.00 kcal/mol of atoms
DFT total energy = -4.40 eV per atom

[2]
Computed, not measured: crystalline Ce2Pm3TmSe6 at its relaxed geometry at the GGA-PBE level of DFT.

Cell lengths 7.210, 12.508, 7.230 Å; angles 90.00, 109.52, 90.00 degrees
Space group C2/m (No. 12)
Inequivalent atoms, fractional coordinates:
1 Ce 0.000 0.166 0.000 (multiplicity 4)
2 Pm 0.000 0.000 0.500 (multiplicity 2)
3 Pm 0.000 0.331 0.500 (multiplicity 4)
4 Tm 0.000 0.500 0.000 (multiplicity 2)
5 Se 0.242 0.500 0.753 (multiplicity 4)
6 Se 0.243 0.338 0.243 (multiplicity 8)

Raw formation energy = -174.24 kJ per mole of atoms
DFT total energy = -6.10 eV per atom

[3]
Computed, not measured: crystalline Dy2TmBi2 at its relaxed geometry at the GGA-PBE level of DFT.

Cell lengths 4.402, 11.614, 12.155 Å; angles 90.00, 90.00, 90.00 degrees
Space group Cmc2_1 (No. 36)
Inequivalent atoms, fractional coordinates:
1 Dy 0.000 0.034 0.000 (multiplicity 4)
2 Dy 0.000 0.335 0.180 (multiplicity 4)
3 Tm 0.000 0.337 0.857 (multiplicity 4)
4 Bi 0.000 0.015 0.251 (multiplicity 4)
5 Bi 0.000 0.268 0.513 (multiplicity 4)

Energy relative to the elements = -0.554 eV per atom
DFT total energy = -4.84 eV per atom

[4]
Computed, not measured: crystalline PmYPt6 at its relaxed geometry at the GGA-PBE level of DFT.

Cell lengths 4.154, 4.154, 8.309 Å; angles 90.00, 90.00, 90.00 degrees
Space group P4/mmm (No. 123)
Inequivalent atoms, fractional coordinates:
1 Pm 0.000 0.000 0.000 (multiplicity 1)
2 Y 0.000 0.000 0.500 (multiplicity 1)
3 Pt 0.000 0.500 0.254 (multiplicity 4)
4 Pt 0.500 0.500 0.000 (multiplicity 1)
5 Pt 0.500 0.500 0.500 (multiplicity 1)

Energy relative to the elements = -0.950 eV per atom
Offset from the most stable computed form = 0.00 kcal/mol of atoms
DFT total energy = -6.88 eV per atom

[5]
Computed, not measured: crystalline RePbW2 at its relaxed geometry at the GGA-PBE level of DFT.

Cell lengths 4.119, 4.119, 8.187 Å; angles 90.00, 90.00, 90.00 degrees
Space group I-4m2 (No. 119)
Inequivalent atoms, fractional coordinates:
1 Re 0.000 0.000 0.000 (multiplicity 2)
2 Pb 0.000 0.500 0.250 (multiplicity 2)
3 W 0.000 0.000 0.500 (multiplicity 2)
4 W 0.000 0.500 0.750 (multiplicity 2)

Energy relative to the elements = 0.910 eV per atom
DFT total energy = -9.61 eV per atom

[6]
Computed, not measured: crystalline Ac2PdRh4Pb3 at its relaxed geometry at the GGA-PBE level of DFT.

Cell lengths 4.218, 4.218, 13.038 Å; angles 90.00, 90.00, 90.00 degrees
Space group P-4m2 (No. 115)
Inequivalent atoms, fractional coordinates:
1 Ac 0.000 0.500 0.216 (multiplicity 2)
2 Pd 0.500 0.500 0.000 (multiplicity 1)
3 Rh 0.000 0.000 0.500 (multiplicity 1)
4 Rh 0.000 0.500 0.840 (multiplicity 2)
5 Rh 0.500 0.500 0.500 (multiplicity 1)
6 Pb 0.000 0.000 0.000 (multiplicity 1)
7 Pb 0.000 0.500 0.628 (multiplicity 2)

Energy relative to the elements = -0.416 eV per atom
DFT total energy = -5.81 eV per atom